[1]
{"formula": "KTiGeSb2", "functional": "PBEsol", "state": "optimized geometry", "lattice": [[5.202, 0.000, 0.000], [0.000, 5.202, 0.000], [0.000, 0.000, 5.531]], "species": ["K", "Ti", "Ge", "Sb", "Sb"], "frac_coords": [[0.000, 0.000, 0.000], [0.000, 0.000, 0.500], [0.500, 0.500, 0.000], [0.000, 0.500, 0.500], [0.500, 0.000, 0.500]], "e_tot_ev_per_atom": -4.1389, "e_form_raw_kj_per_mol_atoms": 54.32, "sg": "P4/mmm (123)"}


[2]
{"formula": "Y2ZrCdGa", "functional": "PBEsol", "state": "optimized geometry", "lattice": [[5.422, 0.000, 0.000], [0.000, 5.422, 0.000], [0.000, 0.000, 5.228]], "species": ["Y", "Y", "Zr", "Cd", "Ga"], "frac_coords": [[0.000, 0.500, 0.000], [0.500, 0.000, 0.000], [0.000, 0.000, 0.500], [0.000, 0.000, 0.000], [0.500, 0.500, 0.500]], "e_tot_ev_per_atom": -4.8062, "delta_e_f_ev_per_atom": 0.648, "sg": "P4/mmm (123)"}


[3]
{"formula": "MoP2WS", "functional": "PBEsol", "state": "optimized geometry", "lattice": [[4.671, 0.000, 0.000], [0.000, 4.671, 0.000], [0.000, 0.000, 4.523]], "species": ["Mo", "P", "P", "W", "S"], "frac_coords": [[0.000, 0.000, 0.000], [0.000, 0.500, 0.500], [0.500, 0.000, 0.500], [0.500, 0.500, 0.500], [0.500, 0.500, 0.000]], "e_tot_ev_per_atom": -7.2964, "polymorph_energy_ev_per_atom": 0.0000, "e_form_raw_kj_per_mol_atoms": 97.65, "sg": "P4/mmm (123)"}


[4]
{"formula": "TaTiI2Br", "functional": "PBEsol", "state": "optimized geometry", "lattice": [[5.207, 0.000, 0.000], [0.000, 5.207, 0.000], [0.000, 0.000, 5.105]], "species": ["Ta", "Ti", "I", "I", "Br"], "frac_coords": [[0.000, 0.000, 0.000], [0.000, 0.000, 0.500], [0.000, 0.500, 0.500], [0.500, 0.000, 0.500], [0.500, 0.500, 0.000]], "e_tot_ev_per_atom": -4.5963, "e_form_raw_kj_per_mol_atoms": 63.60, "sg": "P4/mmm (123)"}


[5]
{"formula": "Rb2SbAs2", "functional": "PBEsol", "state": "optimized geometry", "lattice": [[10.183, 0.000, 0.000], [0.000, 10.183, 0.000], [0.000, 0.000, 2.954]], "species": ["Rb", "Rb", "Rb", "Rb", "Sb", "Sb", "As", "As", "As", "As"], "frac_coords": [[0.121, 0.379, 0.000], [0.379, 0.879, 0.000], [0.621, 0.121, 0.000], [0.879, 0.621, 0.000], [0.000, 0.000, 0.000], [0.500, 0.500, 0.000], [0.179, 0.679, 0.500], [0.321, 0.179, 0.500], [0.679, 0.821, 0.500], [0.821, 0.321, 0.500]], "e_tot_ev_per_atom": -3.0302, "polymorph_energy_ev_per_atom": 0.5049, "e_form_raw_kj_per_mol_atoms": 32.21, "sg": "P4/mbm (127)"}


[6]
{"formula": "BTeIr2", "functional": "PBEsol", "state": "optimized geometry", "lattice": [[5.029, 0.000, 0.000], [0.000, 5.029, 0.000], [0.000, 0.000, 11.133]], "species": ["B", "B", "B", "B", "Te", "Te", "Te", "Te", "Ir", "Ir", "Ir", "Ir", "Ir", "Ir", "Ir", "Ir"], "frac_coords": [[0.000, 0.000, 0.000], [0.000, 0.500, 0.250], [0.500, 0.000, 0.750], [0.500, 0.500, 0.500], [0.000, 0.000, 0.500], [0.000, 0.500, 0.750], [0.500, 0.000, 0.250], [0.500, 0.500, 0.000], [0.156, 0.250, 0.125], [0.250, 0.656, 0.375], [0.250, 0.844, 0.875], [0.344, 0.250, 0.625], [0.656, 0.750, 0.625], [0.750, 0.156, 0.875], [0.750, 0.344, 0.375], [0.844, 0.750, 0.125]], "e_tot_ev_per_atom": -7.3757, "e_form_raw_kj_per_mol_atoms": 16.56, "sg": "I-42d (122)"}


[7]
{"formula": "AlTeMoI2", "functional": "PBEsol", "state": "optimized geometry", "lattice": [[5.307, 0.000, 0.000], [0.000, 5.307, 0.000], [0.000, 0.000, 5.510]], "species": ["Al", "Te", "Mo", "I", "I"], "frac_coords": [[0.000, 0.000, 0.000], [0.000, 0.000, 0.500], [0.500, 0.500, 0.500], [0.000, 0.500, 0.000], [0.500, 0.000, 0.000]], "e_tot_ev_per_atom": -3.7090, "e_form_raw_kj_per_mol_atoms": 84.41, "sg": "P4/mmm (123)"}


[8]
{"formula": "CaHg", "functional": "PBEsol", "state": "optimized geometry", "lattice": [[11.442, 0.000, 0.000], [0.000, 3.869, 0.000], [-4.045, 0.000, 7.480]], "species": ["Ca", "Ca", "Ca", "Ca", "Ca", "Ca", "Hg", "Hg", "Hg", "Hg", "Hg", "Hg"], "frac_coords": [[0.000, 0.000, 0.000], [0.129, 0.500, 0.725], [0.288, 0.500, 0.371], [0.500, 0.500, 0.000], [0.629, 0.000, 0.725], [0.788, 0.000, 0.371], [0.061, 0.000, 0.388], [0.306, 0.000, 0.078], [0.342, 0.000, 0.694], [0.561, 0.500, 0.388], [0.806, 0.500, 0.078], [0.842, 0.500, 0.694]], "e_tot_ev_per_atom": -1.8604, "delta_e_f_ev_per_atom": -0.510, "sg": "Cm (8)"}